[1]
## CoNi (SCAN)

Data for a crystal of CoNi relaxed with PBEsol.

Structure (POSCAR):
```
CoNi
1.0
2.440 0.000 0.000
0.000 2.440 0.000
0.000 0.000 6.948
Co Ni
2 2
direct
0.250 0.250 0.124
0.750 0.750 0.876
0.250 0.250 0.627
0.750 0.750 0.373
```

Calculated values
**Magnetic moment**: 5.07 Bohr magnetons per cell
**Energy of formation**: 8 meV/atom
**Space group**: P4/nmm, No. 129



[2]
## Cr2OsPb (SCAN)

Data for a crystal of Cr2OsPb relaxed with PBEsol.

Structure (POSCAR):
```
Cr2OsPb
1.0
2.862 0.000 0.000
0.000 3.846 0.000
0.000 0.000 5.589
Cr Os Pb
2 1 1
direct
0.000 0.000 0.186
0.000 0.000 0.814
0.500 0.500 0.000
0.500 0.500 0.500
```

Calculated values
**Magnetic moment**: 0.00 Bohr magnetons per cell
**Energy of formation**: 594 meV/atom
**Space group**: Pmmm, No. 47



[3]
## NbCuRu3 (SCAN)

Data for a crystal of NbCuRu3 relaxed with PBEsol.

Structure (POSCAR):
```
NbCuRu3
1.0
4.323 0.000 0.000
0.000 4.323 0.000
0.000 0.000 4.323
Nb Cu Ru
1 1 3
direct
0.000 0.000 0.000
0.500 0.500 0.500
0.000 0.500 0.500
0.500 0.000 0.500
0.500 0.500 0.000
```

Calculated values
**Magnetic moment**: 0.00 Bohr magnetons per cell
**Energy of formation**: 1346 meV/atom
**Space group**: Pm-3m, No. 221